The following is a meta-GGA SCAN calculation of a crystal of Ba2CrRu relaxed with PBEsol, from Alexandria via LeMat-Bulk.

Cell: 10.2545 10.2545 10.2545 Å, 20.48 20.48 20.48°
With the nearest neighbours (Å) after each atom.
Sites, in units of the cell vectors:
Ba  0.2387  0.2387  0.2387  3 Ru 3.02
Ba  0.7613  0.7613  0.7613  3 Ru 3.02
Cr  0.0000  0.0000  0.0000  6 Ba 3.54, 6 Cr 3.65
Ru  0.5000  0.5000  0.5000  6 Ba 3.02

Fermi-level density of states: 2.7 states/eV/cell
energy above the lowest structure with this stoichiometry: 175 meV/atom
total energy: -32.117 eV per atom
formation energy from the elements: 961 meV per atom